CaPr3Y | PBE | optimized geometry

Calculated values
Energy of formation, eV/atom: 0.35
Magnetization, μB/f.u.: 0.00
E, eV per atom: -4.2063
Crystal system: trigonal
Polymorph energy (0 for the lowest one), eV per formula unit: 1.02
Density, g cm⁻³: 4.524

Cell and atoms, written as CIF:
```
data_CaPr3Y
_chemical_formula_sum 'Ca6 Pr18 Y6'
_symmetry_space_group_name_H-M 'R -3'
_symmetry_Int_Tables_number 148
_symmetry_space_group_name_Hall '-R 3'
_cell_length_a 6.2766
_cell_length_b 6.2766
_cell_length_c 35.6150
_cell_angle_alpha 90.00
_cell_angle_beta 90.00
_cell_angle_gamma 120.00
loop_
_atom_site_label
_atom_site_type_symbol
_atom_site_fract_x
_atom_site_fract_y
_atom_site_fract_z
Ca1 Ca 0.0000 0.0000 0.1670
Pr1 Pr 0.0052 0.3280 0.0786
Y1 Y 0.0000 0.0000 0.3335
```